1.
This record from the Alexandria database describes an optimized crystal structure of Ba2Hg. The functional is PBE.

a = 4.7063 Å, b = 4.7063 Å, c = 8.2722 Å
α = 90.00°, β = 90.00°, γ = 120.00°
Fractional positions:
Ba  0.3333  0.6667  0.2628
Ba  0.6667  0.3333  0.7372
Hg  0.0000  0.0000  0.0000

Properties
- Energy of formation from the pure elements: -0.2531 eV/atom
- Calculated density: 5.0 g cm⁻³



2.
This record from the Alexandria database describes an optimized crystal structure of BaHg6. The functional is PBE.

a = 14.2623 Å, b = 5.4119 Å, c = 10.5369 Å
α = 90.00°, β = 90.00°, γ = 90.00°
Fractional positions:
Ba  0.1808  0.2500  0.1363
Ba  0.3192  0.7500  0.6363
Ba  0.6808  0.2500  0.3637
Ba  0.8192  0.7500  0.8637
Hg  0.0006  0.2500  0.8937
Hg  0.0458  0.7500  0.6417
Hg  0.0972  0.7500  0.3575
Hg  0.1423  0.7500  0.9005
Hg  0.1505  0.2500  0.4979
Hg  0.1944  0.2500  0.7769
Hg  0.3056  0.7500  0.2769
Hg  0.3495  0.7500  0.9979
Hg  0.3577  0.2500  0.4005
Hg  0.4028  0.2500  0.8575
Hg  0.4542  0.2500  0.1417
Hg  0.4994  0.7500  0.3937
Hg  0.5006  0.2500  0.6063
Hg  0.5458  0.7500  0.8583
Hg  0.5972  0.7500  0.1425
Hg  0.6423  0.7500  0.5995
Hg  0.6505  0.2500  0.0021
Hg  0.6944  0.2500  0.7231
Hg  0.8056  0.7500  0.2231
Hg  0.8495  0.7500  0.5021
Hg  0.8577  0.2500  0.0995
Hg  0.9028  0.2500  0.6425
Hg  0.9542  0.2500  0.3583
Hg  0.9994  0.7500  0.1063

Properties
- Polymorph energy (0 for the lowest one): 0.0 meV per atom
- Energy of formation from the pure elements: -0.2782 eV/atom
- Calculated density: 11.0 g cm⁻³



3.
This record from the Alexandria database describes an optimized crystal structure of BaHg. The functional is PBE.

a = 5.0312 Å, b = 5.0312 Å, c = 5.0312 Å
α = 59.74°, β = 59.74°, γ = 59.74°
Fractional positions:
Ba  0.0000  0.0000  0.0000
Hg  0.5000  0.5000  0.5000

Properties
- Energy of formation from the pure elements: -0.3931 eV/atom
- Calculated density: 6.3 g cm⁻³